Entry 1:
Density functional theory data (PBE) for PmHo2US8 after structural relaxation.

a = 5.933 Å, b = 8.226 Å, c = 6.298 Å
α = 90.00°, β = 90.58°, γ = 90.00°
Sites, in units of the cell vectors:
Pm  0.000  0.000  0.000
Ho  0.500  0.255  0.500
Ho  0.500  0.745  0.500
U  0.000  0.500  0.000
S  0.216  0.000  0.418
S  0.246  0.500  0.340
S  0.249  0.270  0.865
S  0.249  0.730  0.865
S  0.751  0.270  0.135
S  0.751  0.730  0.135
S  0.754  0.500  0.660
S  0.784  0.000  0.582

Output
calculated density	5.24	g/cm³
VASP energy	-76.1	eV per formula unit
density of states at the Fermi level	2.52	states/eV per cell
E_form (uncorrected)	-1.488	eV/atom
SG	P2/m

=====

Entry 2:
Density functional theory data (PBE) for Pm2Y3TmTe6 after structural relaxation.

a = 9.825 Å, b = 9.825 Å, c = 8.822 Å
α = 102.49°, β = 102.49°, γ = 25.64°
Sites, in units of the cell vectors:
Pm  0.172  0.172  0.338
Pm  0.828  0.828  0.662
Y  0.174  0.174  0.835
Y  0.500  0.500  0.500
Y  0.826  0.826  0.165
Tm  0.500  0.500  0.000
Te  0.003  0.003  0.756
Te  0.338  0.338  0.413
Te  0.339  0.339  0.925
Te  0.661  0.661  0.075
Te  0.662  0.662  0.587
Te  0.997  0.997  0.244

Output
calculated density	6.89	g/cm³
VASP energy	-68.1	eV per formula unit
density of states at the Fermi level	6.90	states/eV per cell
E_form (uncorrected)	-1.322	eV/atom
SG	C2/m

=====

Entry 3:
Density functional theory data (PBE) for Ac2GdHg after structural relaxation.

a = 3.983 Å, b = 3.983 Å, c = 9.131 Å
α = 90.00°, β = 90.00°, γ = 90.00°
Sites, in units of the cell vectors:
Ac  0.000  0.000  0.225
Ac  0.000  0.000  0.775
Gd  0.500  0.500  0.500
Hg  0.500  0.500  0.000

Output
calculated density	9.31	g/cm³
VASP energy	-23.4	eV per formula unit
density of states at the Fermi level	4.79	states/eV per cell
SG	P4/mmm
energy relative to the elements	-0.2043	eV/atom

=====

Entry 4:
Density functional theory data (PBE) for Sc2MnAlH after structural relaxation.

a = 4.444 Å, b = 4.444 Å, c = 3.751 Å
α = 90.00°, β = 90.00°, γ = 90.00°
Sites, in units of the cell vectors:
Sc  0.000  0.500  0.000
Sc  0.500  0.000  0.000
Mn  0.000  0.000  0.500
Al  0.500  0.500  0.500
H  0.000  0.000  0.000

Output
calculated density	3.87	g/cm³
VASP energy	-30.5	eV per formula unit
density of states at the Fermi level	2.52	states/eV per cell
SG	P4/mmm